# Fe3O2F4, optimized geometry, DFT PBE+U
# Distance to the lowest polymorph of the same formula (meV/atom): 22
data_Fe3O2F4
_chemical_formula_sum 'Fe6 O4 F8'
_space_group_name_H-M_alt 'P 1 21 1'
_space_group_IT_number 4
_cell_length_a 5.7285
_cell_length_b 4.8039
_cell_length_c 7.9217
_cell_angle_alpha 90.00
_cell_angle_beta 93.30
_cell_angle_gamma 90.00
loop_
_space_group_symop_operation_xyz
'x,y,z'
'-x,y+1/2,-z'
loop_
_atom_site_label
_atom_site_fract_x
_atom_site_fract_y
_atom_site_fract_z
_atom_site_occupancy
Fe1 0.0666 0.0000 0.3544 1
Fe2 0.2801 0.4821 0.9983 1
Fe3 0.4069 0.0333 0.6737 1
O1 0.1123 0.2084 0.5595 1
O2 0.4684 0.2022 0.9070 1
F1 0.0357 0.8115 0.1002 1
F2 0.2172 0.6907 0.7708 1
F3 0.2617 0.2981 0.2267 1
F4 0.3726 0.8173 0.4298 1